No. 1
## Er2Ni12P3Rh (PBE)

Data for a relaxed structure of Er2Ni12P3Rh.

Cell: 6.236 6.236 6.236 Å, 85.66 85.66 85.66°
Positions (direct):
Er  0.208  0.208  0.208
Er  0.792  0.792  0.792
Ni  0.102  0.102  0.627
Ni  0.102  0.627  0.102
Ni  0.187  0.688  0.688
Ni  0.312  0.312  0.813
Ni  0.312  0.813  0.312
Ni  0.373  0.898  0.898
Ni  0.627  0.102  0.102
Ni  0.688  0.187  0.688
Ni  0.688  0.688  0.187
Ni  0.813  0.312  0.312
Ni  0.898  0.373  0.898
Ni  0.898  0.898  0.373
P  0.000  0.500  0.500
P  0.500  0.000  0.500
P  0.500  0.500  0.000
Rh  0.500  0.500  0.500

Values from the calculation:
Crystal system ... trigonal
E ... -5.757 eV/atom
Density ... 8.52 g/cm³
N(E_F) ... 1.358 states/eV per atom

***

No. 2
## Er2Ni3P4Ru (PBE)

Data for a relaxed structure of Er2Ni3P4Ru.

Cell: 3.961 3.961 9.277 Å, 90.00 90.00 90.00°
Positions (direct):
Er  0.000  0.500  0.240
Er  0.500  0.000  0.760
Ni  0.000  0.500  0.882
Ni  0.500  0.000  0.118
Ni  0.500  0.500  0.500
P  0.000  0.000  0.000
P  0.000  0.500  0.640
P  0.500  0.000  0.360
P  0.500  0.500  0.000
Ru  0.000  0.000  0.500

Values from the calculation:
Crystal system ... tetragonal
E ... -6.700 eV/atom
Density ... 8.39 g/cm³
N(E_F) ... 0.366 states/eV per atom